Entry 1:
Below is a geometry-optimized Y3Er3Si4 structure, with properties calculated at the PBE-GGA level.

Lattice parameters (Å, degrees): 4.2138 7.4429 7.4429 90.02 90.00 90.00
Positions (direct):
Y1 0.5000 0.8245 0.1755
Y2 0.5000 0.3238 0.3241
Y3 0.5000 0.6759 0.6762
Er1 0.0000 0.4996 0.9996
Er2 0.0000 0.0004 0.5004
Er3 0.5000 0.1756 0.8244
Si1 0.0000 0.6171 0.3829
Si2 0.0000 0.3814 0.6186
Si3 0.0000 0.8840 0.8822
Si4 0.0000 0.1178 0.1160

Output
The density of states at the Fermi level is 8.23 states/eV/f.u. Its formation energy (no corrections) is -0.72 eV/atom. The space-group type is Amm2 (38).

Entry 2:
Below is a geometry-optimized Y2Er3Si4 structure, with properties calculated at the PBE-GGA level.

Lattice parameters (Å, degrees): 7.3466 7.6098 7.6571 90.00 90.00 106.87
Positions (direct):
Y1 0.5836 0.1979 0.3203
Y2 0.9164 0.8021 0.8203
Y3 0.4164 0.8021 0.6797
Y4 0.0836 0.1979 0.1797
Er1 0.0000 0.5000 0.5000
Er2 0.5000 0.5000 0.0000
Er3 0.7523 0.2442 0.8191
Er4 0.7477 0.7558 0.3191
Er5 0.2477 0.7558 0.1809
Er6 0.2523 0.2442 0.6809
Si1 0.8735 0.0794 0.5300
Si2 0.6265 0.9206 0.0300
Si3 0.1265 0.9206 0.4700
Si4 0.3735 0.0794 0.9700
Si5 0.8759 0.4896 0.1211
Si6 0.6241 0.5104 0.6211
Si7 0.1241 0.5104 0.8789
Si8 0.3759 0.4896 0.3789

Output
The density of states at the Fermi level is 8.00 states/eV/f.u. Its formation energy (no corrections) is -0.77 eV/atom. The space-group type is P2_1/c (14).

Entry 3:
Below is a geometry-optimized Er3ZnSi2 structure, with properties calculated at the PBE-GGA level.

Lattice parameters (Å, degrees): 4.1450 11.3368 11.2478 90.00 90.00 90.00
Positions (direct):
Er1 0.2500 0.3780 0.0554
Er2 0.7500 0.6220 0.9446
Er3 0.7500 0.8780 0.4446
Er4 0.2500 0.1220 0.5554
Er5 0.2500 0.6970 0.2032
Er6 0.7500 0.3030 0.7968
Er7 0.7500 0.1970 0.2968
Er8 0.2500 0.8030 0.7032
Er9 0.2500 0.4345 0.3713
Er10 0.7500 0.5655 0.6287
Er11 0.7500 0.9345 0.1287
Er12 0.2500 0.0655 0.8713
Zn1 0.2500 0.1351 0.1356
Zn2 0.7500 0.8649 0.8644
Zn3 0.7500 0.6351 0.3644
Zn4 0.2500 0.3649 0.6356
Si1 0.2500 0.6806 0.4789
Si2 0.7500 0.3194 0.5211
Si3 0.7500 0.1806 0.0211
Si4 0.2500 0.8194 0.9789
Si5 0.2500 0.0012 0.3138
Si6 0.7500 0.9988 0.6862
Si7 0.7500 0.5012 0.1862
Si8 0.2500 0.4988 0.8138

Output
The density of states at the Fermi level is 3.41 states/eV/f.u. Its formation energy (no corrections) is -0.63 eV/atom. The space-group type is Pnma (62).

Entry 4:
Below is a geometry-optimized ErZn11Si structure, with properties calculated at the PBE-GGA level.

Lattice parameters (Å, degrees): 5.2140 6.7704 6.8292 81.38 67.56 66.89
Positions (direct):
Er1 0.0000 0.0000 0.0000
Zn1 0.2817 0.2132 0.2146
Zn2 0.7183 0.7868 0.7854
Zn3 0.5037 0.7868 0.2146
Zn4 0.4963 0.2132 0.7854
Zn5 0.3536 0.6459 0.6447
Zn6 0.6464 0.3541 0.3553
Zn7 0.0016 0.3541 0.6447
Zn8 0.9984 0.6459 0.3553
Zn9 0.0000 0.5000 0.0000
Zn10 0.5000 0.0000 0.5000
Zn11 0.0000 0.0000 0.5000
Si1 0.5000 0.5000 0.0000

Output
The density of states at the Fermi level is 3.87 states/eV/f.u. Its formation energy (no corrections) is -0.10 eV/atom. The space-group type is C2/m (12).

Entry 5:
Below is a geometry-optimized Er2Zn16Si structure, with properties calculated at the PBE-GGA level.

Lattice parameters (Å, degrees): 6.7635 6.7635 6.7635 83.75 83.75 83.75
Positions (direct):
Er1 0.6690 0.6690 0.6690
Er2 0.3340 0.3340 0.3340
Zn1 0.6917 0.0010 0.3090
Zn2 0.0010 0.3090 0.6917
Zn3 0.3090 0.6917 0.0010
Zn4 0.0010 0.6917 0.3090
Zn5 0.6917 0.3090 0.0010
Zn6 0.3090 0.0010 0.6917
Zn7 0.3498 0.8341 0.3498
Zn8 0.8341 0.3498 0.3498
Zn9 0.3498 0.3498 0.8341
Zn10 0.6506 0.1671 0.6506
Zn11 0.1671 0.6505 0.6506
Zn12 0.6506 0.6506 0.1671
Zn13 0.0047 0.4933 0.0047
Zn14 0.4933 0.0047 0.0047
Zn15 0.0047 0.0047 0.4933
Zn16 0.0921 0.0921 0.0921
Si1 0.8969 0.8969 0.8969

Output
The density of states at the Fermi level is 7.78 states/eV/f.u. Its formation energy (no corrections) is -0.19 eV/atom. The space-group type is R3m (160).

Entry 6:
Below is a geometry-optimized ErZnSi2 structure, with properties calculated at the PBE-GGA level.

Lattice parameters (Å, degrees): 4.0152 4.1898 4.1898 90.00 90.00 90.00
Positions (direct):
Zn1 0.5000 0.0000 0.0000
Si1 0.0000 0.0000 0.5000
Si2 0.0000 0.5000 0.0000
Er1 0.5000 0.5000 0.5000

Output
The energy above the most stable polymorph in this dataset is 73 meV/atom. The density of states at the Fermi level is 1.81 states/eV/f.u. Its formation energy (no corrections) is -0.29 eV/atom. The space-group type is P4/mmm (123).

Entry 7:
Below is a geometry-optimized ErZnSi2 structure, with properties calculated at the PBE-GGA level.

Lattice parameters (Å, degrees): 3.0210 5.1620 5.1620 117.48 90.00 90.00
Positions (direct):
Er1 0.0000 0.0536 0.9464
Zn1 0.5000 0.5540 0.4460
Si1 0.5000 0.0540 0.4466
Si2 0.5000 0.5534 0.9460

Output
The energy above the most stable polymorph in this dataset is 134 meV/atom. The density of states at the Fermi level is 2.15 states/eV/f.u. Its formation energy (no corrections) is -0.23 eV/atom. The space-group type is Cmmm (65).

Entry 8:
Below is a geometry-optimized Er3Zn3Si structure, with properties calculated at the PBE-GGA level.

Lattice parameters (Å, degrees): 4.1404 3.9350 9.6891 101.72 102.34 90.00
Positions (direct):
Er1 0.3149 0.8149 0.6298
Er2 0.6903 0.1903 0.3806
Er3 0.9932 0.9932 0.9865
Zn1 0.1430 0.6430 0.2860
Zn2 0.8588 0.3588 0.7176
Zn3 0.5651 0.5651 0.1301
Si1 0.4347 0.4347 0.8694

Output
The density of states at the Fermi level is 5.83 states/eV/f.u. Its formation energy (no corrections) is -0.43 eV/atom. The space-group type is Imm2 (44).